# 1
## Tb3Er6Cd (PBE)

Data for crystalline Tb3Er6Cd at its relaxed geometry.

The structure in CIF format:
```
data_Tb3Er6Cd
_chemical_formula_sum 'Tb6 Er12 Cd2'
_space_group_name_H-M_alt 'P 1 21/m 1'
_space_group_IT_number 11
_cell_length_a 10.871
_cell_length_b 4.978
_cell_length_c 11.111
_cell_angle_alpha 90.00
_cell_angle_beta 91.57
_cell_angle_gamma 90.00
loop_
_space_group_symop_operation_xyz
'x,y,z'
'-x,-y,-z'
'-x,y+1/2,-z'
'x,-y+1/2,z'
loop_
_atom_site_label
_atom_site_fract_x
_atom_site_fract_y
_atom_site_fract_z
_atom_site_occupancy
Tb1 0.052 0.250 0.401 1
Tb2 0.155 0.750 0.207 1
Tb3 0.253 0.250 0.008 1
Er1 0.051 0.750 0.898 1
Er2 0.155 0.250 0.702 1
Er3 0.266 0.750 0.507 1
Er4 0.347 0.750 0.810 1
Er5 0.364 0.250 0.316 1
Er6 0.454 0.750 0.104 1
Cd1 0.446 0.250 0.609 1
```

Results
Polymorph energy (0 for the lowest one) ... 0.0 meV per atom
DOS at the Fermi energy ... 27.3 states/eV per cell
Energy of formation from the pure elements ... -0.16 eV per formula unit
VASP energy ... -4.235 eV/atom

# 2
## IrRuCl2 (PBE)

Data for crystalline IrRuCl2 at its relaxed geometry.

The structure in CIF format:
```
data_IrRuCl2
_chemical_formula_sum 'Ir2 Ru2 Cl4'
_space_group_name_H-M_alt 'I m m 2'
_space_group_IT_number 44
_cell_length_a 2.896
_cell_length_b 4.020
_cell_length_c 13.559
_cell_angle_alpha 90.00
_cell_angle_beta 90.00
_cell_angle_gamma 90.00
loop_
_space_group_symop_operation_xyz
'x,y,z'
'-x,-y,z'
'-x,y,z'
'x,-y,z'
'x+1/2,y+1/2,z+1/2'
'-x+1/2,-y+1/2,z+1/2'
'-x+1/2,y+1/2,z+1/2'
'x+1/2,-y+1/2,z+1/2'
loop_
_atom_site_label
_atom_site_fract_x
_atom_site_fract_y
_atom_site_fract_z
_atom_site_occupancy
Ir1 0.000 0.000 0.000 1
Ru1 0.000 0.500 0.660 1
Cl1 0.000 0.000 0.458 1
Cl2 0.000 0.500 0.202 1
```

Results
Polymorph energy (0 for the lowest one) ... 702.0 meV per atom
DOS at the Fermi energy ... 10.6 states/eV per cell
Raw formation energy ... 0.747 eV/atom
VASP energy ... -4.710 eV/atom

# 3
## SrW2Cl (PBE)

Data for crystalline SrW2Cl at its relaxed geometry.

The structure in CIF format:
```
data_SrW2Cl
_chemical_formula_sum 'Sr1 W2 Cl1'
_space_group_name_H-M_alt 'P m m m'
_space_group_IT_number 47
_cell_length_a 3.150
_cell_length_b 4.378
_cell_length_c 6.938
_cell_angle_alpha 90.00
_cell_angle_beta 90.00
_cell_angle_gamma 90.00
loop_
_space_group_symop_operation_xyz
'x,y,z'
'-x,-y,-z'
'-x,-y,z'
'x,y,-z'
'x,-y,-z'
'-x,y,z'
'-x,y,-z'
'x,-y,z'
loop_
_atom_site_label
_atom_site_fract_x
_atom_site_fract_y
_atom_site_fract_z
_atom_site_occupancy
Sr1 0.000 0.000 0.000 1
W1 0.000 0.500 0.500 1
W2 0.500 0.000 0.500 1
Cl1 0.500 0.500 0.000 1
```

Results
Polymorph energy (0 for the lowest one) ... 370.2 meV per atom
DOS at the Fermi energy ... 3.7 states/eV per cell
Raw formation energy ... 0.487 eV/atom
VASP energy ... -6.872 eV/atom

# 4
## AlFePt2 (PBE)

Data for crystalline AlFePt2 at its relaxed geometry.

The structure in CIF format:
```
data_AlFePt2
_chemical_formula_sum 'Al2 Fe2 Pt4'
_space_group_name_H-M_alt 'I 4/m m m'
_space_group_IT_number 139
_space_group_name_Hall '-I 4 2'
_cell_length_a 3.961
_cell_length_b 3.961
_cell_length_c 7.306
_cell_angle_alpha 90.00
_cell_angle_beta 90.00
_cell_angle_gamma 90.00
loop_
_atom_site_label
_atom_site_fract_x
_atom_site_fract_y
_atom_site_fract_z
_atom_site_occupancy
Al1 0.000 0.000 0.000 1
Fe1 0.000 0.000 0.500 1
Pt1 0.000 0.500 0.250 1
```

Results
DOS at the Fermi energy ... 5.4 states/eV per cell
Energy of formation from the pure elements ... -2.48 eV per formula unit
VASP energy ... -6.691 eV/atom

# 5
## BiSeBr2 (PBE)

Data for crystalline BiSeBr2 at its relaxed geometry.

The structure in CIF format:
```
data_BiSeBr2
_chemical_formula_sum 'Bi4 Se4 Br8'
_space_group_name_H-M_alt 'F m -3 m'
_space_group_IT_number 225
_space_group_name_Hall '-F 4 2 3'
_cell_length_a 7.458
_cell_length_b 7.458
_cell_length_c 7.458
_cell_angle_alpha 90.00
_cell_angle_beta 90.00
_cell_angle_gamma 90.00
loop_
_atom_site_label
_atom_site_fract_x
_atom_site_fract_y
_atom_site_fract_z
_atom_site_occupancy
Bi1 0.000 0.000 0.000 1
Se1 0.000 0.000 0.500 1
Br1 0.250 0.250 0.250 1
```

Results
Polymorph energy (0 for the lowest one) ... 476.7 meV per atom
DOS at the Fermi energy ... 7.4 states/eV per cell
Raw formation energy ... 0.191 eV/atom
VASP energy ... -2.487 eV/atom

# 6
## SiCl5 (PBE)

Data for crystalline SiCl5 at its relaxed geometry.

The structure in CIF format:
```
data_SiCl5
_chemical_formula_sum 'Si1 Cl5'
_space_group_name_H-M_alt 'P -6 2 m'
_space_group_IT_number 189
_space_group_name_Hall 'P -6 -2'
_cell_length_a 8.0988
_cell_length_b 8.0988
_cell_length_c 2.9162
_cell_angle_alpha 90.00
_cell_angle_beta 90.00
_cell_angle_gamma 120.00
loop_
_atom_site_label
_atom_site_fract_x
_atom_site_fract_y
_atom_site_fract_z
_atom_site_occupancy
Si1 0.0000 0.0000 0.0000 1
Cl1 0.0000 0.7834 0.5000 1
Cl2 0.3333 0.6667 0.0000 1
```

Results
Polymorph energy (0 for the lowest one) ... 191.8 meV per atom
DOS at the Fermi energy ... 1.0 states/eV per cell
Raw formation energy ... -0.242 eV/atom
VASP energy ... -2.685 eV/atom

What is the formula in the first record? Tb3Er6Cd